A plane-wave DFT calculation with GGA-PBE was carried out for an optimized crystal structure of Ca4MgS5.

## Properties
DOS at the Fermi energy: 0.00 states/eV per cell
raw formation energy: -1.9845 eV per atom

abc: 3.965 5.657 19.860
angles: 90.00 90.00 90.00
Space group Immm (No. 71)
Inequivalent atoms, fractional coordinates:
Ca (0.000, 0.000, 0.098) x4
Ca (0.000, 0.000, 0.303) x4
Mg (0.000, 0.000, 0.500) x2
S (0.000, 0.500, 0.092) x4
S (0.000, 0.500, 0.299) x4
S (0.000, 0.500, 0.500) x2